(1)
Material: BaSbI
Method: DFT, GGA-PBE
State: relaxed

Cell lengths 13.119, 4.571, 10.071 Å; angles 90.00, 120.71, 90.00 degrees
Element x y z (fractional)
Ba (0.000, 0.000, 0.000)
Ba (0.000, 0.000, 0.500)
Ba (0.500, 0.500, 0.000)
Ba (0.500, 0.500, 0.500)
Sb (0.243, 0.000, 0.406)
Sb (0.257, 0.500, 0.594)
Sb (0.743, 0.500, 0.406)
Sb (0.757, 0.000, 0.594)
I (0.100, 0.500, 0.838)
I (0.400, 0.000, 0.162)
I (0.600, 0.000, 0.838)
I (0.900, 0.500, 0.162)

Properties
energy relative to the elements, uncorrected	-1.133	eV/atom
crystal system	monoclinic

=====

(2)
Material: PaSnIrAu
Method: DFT, GGA-PBE
State: relaxed

Cell lengths 6.930, 6.930, 6.930 Å; angles 90.00, 90.00, 90.00 degrees
Element x y z (fractional)
Pa (0.000, 0.000, 0.000)
Pa (0.000, 0.500, 0.500)
Pa (0.500, 0.000, 0.500)
Pa (0.500, 0.500, 0.000)
Sn (0.000, 0.000, 0.500)
Sn (0.000, 0.500, 0.000)
Sn (0.500, 0.000, 0.000)
Sn (0.500, 0.500, 0.500)
Ir (0.250, 0.250, 0.750)
Ir (0.250, 0.750, 0.250)
Ir (0.750, 0.250, 0.250)
Ir (0.750, 0.750, 0.750)
Au (0.250, 0.250, 0.250)
Au (0.250, 0.750, 0.750)
Au (0.750, 0.250, 0.750)
Au (0.750, 0.750, 0.250)

Properties
ΔH_f (0 K)	-39	kJ per mole of atoms
crystal system	cubic

=====

(3)
Material: NdSm5Zn4
Method: DFT, GGA-PBE
State: relaxed

Cell lengths 3.643, 3.643, 19.756 Å; angles 90.00, 90.00, 90.00 degrees
Element x y z (fractional)
Nd (0.000, 0.000, 0.000)
Sm (0.500, 0.500, 0.133)
Sm (0.500, 0.500, 0.317)
Sm (0.500, 0.500, 0.500)
Sm (0.500, 0.500, 0.683)
Sm (0.500, 0.500, 0.867)
Zn (0.000, 0.000, 0.224)
Zn (0.000, 0.000, 0.407)
Zn (0.000, 0.000, 0.593)
Zn (0.000, 0.000, 0.776)

Properties
ΔH_f (0 K)	-25	kJ per mole of atoms
crystal system	tetragonal

=====

(4)
Material: ErSi2Ge2Pt7
Method: DFT, GGA-PBE
State: relaxed

Cell lengths 3.926, 3.926, 14.557 Å; angles 94.34, 94.34, 89.80 degrees
Element x y z (fractional)
Er (0.000, 0.000, 0.000)
Si (0.427, 0.427, 0.751)
Si (0.573, 0.573, 0.249)
Ge (0.151, 0.151, 0.423)
Ge (0.849, 0.849, 0.577)
Pt (0.045, 0.545, 0.154)
Pt (0.401, 0.401, 0.589)
Pt (0.455, 0.955, 0.846)
Pt (0.500, 0.500, 0.000)
Pt (0.545, 0.045, 0.154)
Pt (0.599, 0.599, 0.411)
Pt (0.955, 0.455, 0.846)

Properties
energy relative to the elements, uncorrected	-0.630	eV/atom
crystal system	monoclinic

=====

(5)
Material: Pm2TaCu3Ni12
Method: DFT, GGA-PBE
State: relaxed

Cell lengths 9.219, 9.219, 9.219 Å; angles 38.37, 38.37, 38.37 degrees
Element x y z (fractional)
Pm (0.149, 0.149, 0.149)
Pm (0.851, 0.851, 0.851)
Ta (0.500, 0.500, 0.500)
Cu (0.000, 0.500, 0.500)
Cu (0.500, 0.000, 0.500)
Cu (0.500, 0.500, 0.000)
Ni (0.080, 0.080, 0.694)
Ni (0.080, 0.694, 0.080)
Ni (0.134, 0.576, 0.576)
Ni (0.306, 0.920, 0.920)
Ni (0.424, 0.424, 0.866)
Ni (0.424, 0.866, 0.424)
Ni (0.576, 0.134, 0.576)
Ni (0.576, 0.576, 0.134)
Ni (0.694, 0.080, 0.080)
Ni (0.866, 0.424, 0.424)
Ni (0.920, 0.306, 0.920)
Ni (0.920, 0.920, 0.306)

Properties
ΔH_f (0 K)	21	kJ per mole of atoms
crystal system	trigonal

=====

(6)
Material: Ni4Pd2Pt
Method: DFT, GGA-PBE
State: relaxed

Cell lengths 2.675, 25.919, 2.668 Å; angles 90.00, 90.00, 90.00 degrees
Element x y z (fractional)
Ni (0.000, 0.072, 0.000)
Ni (0.000, 0.367, 0.500)
Ni (0.000, 0.633, 0.500)
Ni (0.000, 0.928, 0.000)
Ni (0.500, 0.133, 0.500)
Ni (0.500, 0.428, 0.000)
Ni (0.500, 0.572, 0.000)
Ni (0.500, 0.867, 0.500)
Pd (0.000, 0.204, 0.000)
Pd (0.000, 0.796, 0.000)
Pd (0.500, 0.296, 0.000)
Pd (0.500, 0.704, 0.000)
Pt (0.000, 0.500, 0.500)
Pt (0.500, 0.000, 0.500)

Properties
ΔH_f (0 K)	3	kJ per mole of atoms
crystal system	orthorhombic

=====

(7)
Material: Cr2CoAgGe
Method: DFT, GGA-PBE
State: relaxed

Cell lengths 4.421, 4.421, 4.267 Å; angles 90.00, 90.00, 90.00 degrees
Element x y z (fractional)
Cr (0.000, 0.500, 0.000)
Cr (0.500, 0.000, 0.000)
Co (0.000, 0.000, 0.500)
Ag (0.500, 0.500, 0.500)
Ge (0.000, 0.000, 0.000)

Properties
ΔH_f (0 K)	125	kJ per mole of atoms
crystal system	tetragonal

=====

(8)
Material: MnBeAs2
Method: DFT, GGA-PBE
State: relaxed

Cell lengths 3.323, 3.323, 5.245 Å; angles 90.00, 90.00, 90.00 degrees
Element x y z (fractional)
Mn (0.000, 0.000, 0.000)
Be (0.000, 0.000, 0.500)
As (0.500, 0.500, 0.253)
As (0.500, 0.500, 0.747)

Properties
ΔH_f (0 K)	21	kJ per mole of atoms
crystal system	tetragonal

=====

Across the entries above, total magnetic moment takes the values 0.00; 0.00; 0.00; 0.00; 0.00; 7.11; 0.00; 2.81 μB per cell, respectively.
Across the entries above, DFT total energy takes the values -3.665; -6.809; -3.600; -6.208; -5.501; -5.620; -5.473; -5.332 eV/atom, respectively.